# 1
This record from Alexandria describes an optimized crystal structure of Rb2ErSbS4. The functional is PBE-GGA.

abc: 8.525 8.525 8.525
angles: 120.70 119.29 90.01
Sites, in units of the cell vectors:
Rb 0.000 0.000 0.000
Rb 0.500 0.000 0.000
Rb 0.500 0.000 0.500
Rb 0.500 0.500 0.500
Er 0.000 0.000 0.500
Er 0.000 0.500 0.000
Sb 0.000 0.500 0.500
Sb 0.500 0.500 0.000
S 0.194 0.733 0.460
S 0.227 0.267 0.960
S 0.229 0.261 0.532
S 0.229 0.697 0.968
S 0.771 0.303 0.032
S 0.771 0.739 0.468
S 0.773 0.733 0.040
S 0.806 0.267 0.540

* crystal system: orthorhombic



# 2
This record from Alexandria describes an optimized crystal structure of Rb2ErScS4. The functional is PBE-GGA.

abc: 6.858 3.963 7.976
angles: 90.00 106.64 90.00
Sites, in units of the cell vectors:
Rb 0.000 0.000 0.000
Rb 0.500 0.500 0.000
Er 0.000 0.500 0.500
Sc 0.500 0.000 0.500
S 0.239 0.000 0.689
S 0.281 0.500 0.315
S 0.719 0.500 0.685
S 0.761 0.000 0.311

* D(E_F): 0.0000 states/eV per atom
* crystal system: monoclinic



# 3
This record from Alexandria describes an optimized crystal structure of Rb3Er2ScS6. The functional is PBE-GGA.

abc: 6.907 6.907 7.995
angles: 98.28 98.28 120.00
Sites, in units of the cell vectors:
Rb 0.000 0.000 0.000
Rb 0.332 0.668 0.000
Rb 0.668 0.332 0.000
Er 0.167 0.833 0.500
Er 0.833 0.167 0.500
Sc 0.500 0.500 0.500
S 0.114 0.437 0.312
S 0.239 0.239 0.688
S 0.437 0.114 0.312
S 0.563 0.886 0.688
S 0.761 0.761 0.312
S 0.886 0.563 0.688

* D(E_F): 0.0000 states/eV per atom
* crystal system: monoclinic



Taking the records one at a time from the top gives formation energy from raw total energies values of -1.2060 -1.7762 -1.8025 eV per atom.
Taking the records one at a time from the top gives V values of 219.0 207.7 316.3 Å³/f.u..